Cd2Cu2Cl7 PBE relaxed; VASP energy = -2.8418 eV/atom; formation energy (no corrections) = -756 meV per atom; calculated volume = 289.5 Å³/cell; SG = C2/m, No. 12
1.0
3.7503 -5.8967 0.0000
3.7503 5.8967 0.0000
-0.5814 0.0000 6.5450
Cd Cu Cl
2 2 7
Direct
0.1854 0.8146 0.0000 Cd
0.8146 0.1854 0.0000 Cd
0.2294 0.2294 0.6275 Cu
0.7706 0.7706 0.3725 Cu
0.0716 0.0716 0.2610 Cl
0.0820 0.4524 0.7717 Cl
0.4524 0.0820 0.7717 Cl
0.5000 0.5000 0.5000 Cl
0.5476 0.9180 0.2283 Cl
0.9180 0.5476 0.2283 Cl
0.9284 0.9284 0.7390 Cl

***

VAu3Br PBE relaxed; VASP energy = -3.2325 eV/atom; formation energy (no corrections) = 892 meV per atom; calculated volume = 126.1 Å³/cell; SG = Pm-3m, No. 221
1.0
5.0153 0.0000 0.0000
0.0000 5.0153 0.0000
0.0000 0.0000 5.0153
V Au Br
1 3 1
Direct
0.0000 0.0000 0.0000 V
0.0000 0.0000 0.5000 Au
0.0000 0.5000 0.0000 Au
0.5000 0.0000 0.0000 Au
0.5000 0.5000 0.5000 Br

***

Ce3Tl4CuS8 PBE relaxed; VASP energy = -5.1260 eV/atom; formation energy (no corrections) = -1102 meV per atom; calculated volume = 425.5 Å³/cell; SG = C2/m, No. 12
1.0
7.0982 -4.0064 0.0000
7.0982 4.0064 0.0000
-4.6910 0.0000 7.4809
Ce Tl Cu S
3 4 1 8
Direct
0.0000 0.0000 0.0000 Ce
0.0000 0.5000 0.0000 Ce
0.5000 0.0000 0.0000 Ce
0.0000 0.0000 0.5000 Tl
0.0000 0.5000 0.5000 Tl
0.5000 0.0000 0.5000 Tl
0.5000 0.5000 0.5000 Tl
0.5000 0.5000 0.0000 Cu
0.2334 0.2334 0.2044 S
0.2418 0.7202 0.1880 S
0.2569 0.2569 0.7939 S
0.2798 0.7582 0.8120 S
0.7202 0.2418 0.1880 S
0.7431 0.7431 0.2061 S
0.7582 0.2798 0.8120 S
0.7666 0.7666 0.7956 S

***

BaNb2RhS PBE relaxed; VASP energy = -6.0923 eV/atom; formation energy (no corrections) = 616 meV per atom; calculated volume = 132.9 Å³/cell; SG = P4/mmm, No. 123
1.0
4.8964 0.0000 0.0000
0.0000 4.8964 0.0000
0.0000 0.0000 5.5430
Ba Nb Rh S
1 2 1 1
Direct
0.0000 0.0000 0.0000 Ba
0.0000 0.5000 0.5000 Nb
0.5000 0.0000 0.5000 Nb
0.5000 0.5000 0.5000 Rh
0.5000 0.5000 0.0000 S

***

ZrBAu2 PBE relaxed; VASP energy = -5.0818 eV/atom; formation enthalpy at 0 K = 0.363 eV per atom; calculated volume = 159.1 Å³/cell; SG = I-42d, No. 122
1.0
-2.3959 2.3959 6.9293
2.3959 -2.3959 6.9293
2.3959 2.3959 -6.9293
Zr B Au
2 2 4
Direct
0.0000 0.0000 0.0000 Zr
0.7500 0.2500 0.5000 Zr
0.2500 0.7500 0.5000 B
0.5000 0.5000 0.0000 B
0.2363 0.6250 0.1113 Au
0.3750 0.4863 0.6113 Au
0.5137 0.1250 0.8887 Au
0.8750 0.7637 0.3887 Au

***

YSc2RuO PBE relaxed; VASP energy = -7.9748 eV/atom; formation energy (no corrections) = -1303 meV per atom; calculated volume = 87.2 Å³/cell; SG = P4/mmm, No. 123
1.0
4.2507 0.0000 0.0000
0.0000 4.2507 0.0000
0.0000 0.0000 4.8257
Y Sc Ru O
1 2 1 1
Direct
0.0000 0.0000 0.0000 Y
0.0000 0.5000 0.5000 Sc
0.5000 0.0000 0.5000 Sc
0.5000 0.5000 0.0000 Ru
0.0000 0.0000 0.5000 O

***

TiBeIr2Pb PBE relaxed; VASP energy = -5.2862 eV/atom; formation enthalpy at 0 K = 1.324 eV per atom; calculated volume = 111.2 Å³/cell; SG = P4/mmm, No. 123
1.0
4.6186 0.0000 0.0000
0.0000 4.6186 0.0000
0.0000 0.0000 5.2150
Ti Be Ir Pb
1 1 2 1
Direct
0.0000 0.0000 0.0000 Ti
0.5000 0.5000 0.5000 Be
0.0000 0.5000 0.0000 Ir
0.5000 0.0000 0.0000 Ir
0.0000 0.0000 0.5000 Pb

***

CsSrLi PBE relaxed; VASP energy = -1.3163 eV/atom; formation enthalpy at 0 K = 0.167 eV per atom; calculated volume = 172.5 Å³/cell; SG = I4mm, No. 107
1.0
-2.2435 2.2435 8.5706
2.2435 -2.2435 8.5706
2.2435 2.2435 -8.5706
Cs Sr Li
1 1 1
Direct
0.0000 0.0000 0.0000 Cs
0.2757 0.2757 0.0000 Sr
0.6682 0.6682 0.0000 Li

***

Ce2Al3GaAu4 PBE relaxed; VASP energy = -4.5829 eV/atom; formation enthalpy at 0 K = -0.660 eV per atom; calculated volume = 205.6 Å³/cell; SG = P-4m2, No. 115
1.0
4.4380 0.0000 0.0000
0.0000 4.4380 0.0000
0.0000 0.0000 10.4369
Ce Al Ga Au
2 3 1 4
Direct
0.0000 0.5000 0.2494 Ce
0.5000 0.0000 0.7506 Ce
0.0000 0.0000 0.0000 Al
0.0000 0.5000 0.6296 Al
0.5000 0.0000 0.3704 Al
0.5000 0.5000 0.0000 Ga
0.0000 0.0000 0.5000 Au
0.0000 0.5000 0.8682 Au
0.5000 0.0000 0.1318 Au
0.5000 0.5000 0.5000 Au

***

K2ScNi PBE relaxed; VASP energy = -3.4662 eV/atom; formation enthalpy at 0 K = 0.111 eV per atom; calculated volume = 352.0 Å³/cell; SG = Pm, No. 6
1.0
4.9821 0.0000 0.0000
0.0000 4.0015 0.0000
-1.2110 0.0000 17.6580
K Sc Ni
4 2 2
Direct
0.0000 0.0000 0.0000 K
0.0980 0.0000 0.3957 K
0.5491 0.5000 0.1987 K
0.6488 0.5000 0.6008 K
0.4602 0.5000 0.8386 Sc
0.9423 0.0000 0.7787 Sc
0.1831 0.5000 0.7196 Ni
0.4417 0.0000 0.7486 Ni

***

Tl2SnAu PBE relaxed; VASP energy = -2.9347 eV/atom; formation enthalpy at 0 K = 0.068 eV per atom; calculated volume = 105.5 Å³/cell; SG = P4/mmm, No. 123
1.0
4.4464 0.0000 0.0000
0.0000 4.4464 0.0000
0.0000 0.0000 5.3340
Tl Sn Au
2 1 1
Direct
0.0000 0.5000 0.0000 Tl
0.5000 0.0000 0.0000 Tl
0.0000 0.0000 0.5000 Sn
0.5000 0.5000 0.5000 Au

***

Al2InAu7 PBE relaxed; VASP energy = -3.5553 eV/atom; formation enthalpy at 0 K = -0.239 eV per atom; calculated volume = 189.7 Å³/cell; SG = I4/mmm, No. 139
1.0
-2.1957 2.1957 9.8372
2.1957 -2.1957 9.8372
2.1957 2.1957 -9.8372
Al In Au
2 1 7
Direct
0.1749 0.1749 0.0000 Al
0.8251 0.8251 0.0000 Al
0.5000 0.5000 0.0000 In
0.0000 0.0000 0.0000 Au
0.1020 0.6020 0.5000 Au
0.2500 0.7500 0.5000 Au
0.3980 0.8980 0.5000 Au
0.6020 0.1020 0.5000 Au
0.7500 0.2500 0.5000 Au
0.8980 0.3980 0.5000 Au

***

Looking at M_tot for the records above, in order, we have 1.03, 2.21, 1.08, 4.05, 0.00, 0.00, 0.00, 0.00, 1.71, 0.00, 0.00, 0.00 μB per cell.